Entry 1:
Nd12Rh3N5 | Alexandria | PBE | relaxed; energy relative to the elements, uncorrected = -774 meV/atom
1.0
13.653 0.000 0.000
-4.551 12.872 0.000
-4.551 -6.436 11.147
Nd N Rh
48 20 12
Direct
0.705 0.585 0.181 Nd
0.024 0.404 0.819 Nd
0.976 0.596 0.181 Nd
0.085 0.181 0.205 Nd
0.085 0.904 0.380 Nd
0.620 0.024 0.205 Nd
0.681 0.205 0.585 Nd
0.380 0.976 0.795 Nd
0.585 0.880 0.404 Nd
0.620 0.596 0.915 Nd
0.880 0.585 0.904 Nd
0.476 0.795 0.880 Nd
0.205 0.524 0.620 Nd
0.880 0.295 0.476 Nd
0.915 0.096 0.620 Nd
0.915 0.819 0.795 Nd
0.205 0.681 0.085 Nd
0.404 0.380 0.585 Nd
0.681 0.476 0.596 Nd
0.476 0.681 0.096 Nd
0.380 0.404 0.085 Nd
0.705 0.120 0.024 Nd
0.819 0.904 0.024 Nd
0.819 0.915 0.295 Nd
0.904 0.819 0.524 Nd
0.024 0.620 0.705 Nd
0.585 0.705 0.681 Nd
0.319 0.795 0.415 Nd
0.295 0.880 0.976 Nd
0.524 0.205 0.120 Nd
0.181 0.096 0.976 Nd
0.404 0.024 0.319 Nd
0.596 0.976 0.681 Nd
0.181 0.085 0.705 Nd
0.415 0.120 0.596 Nd
0.120 0.415 0.096 Nd
0.319 0.524 0.404 Nd
0.096 0.915 0.120 Nd
0.904 0.085 0.880 Nd
0.415 0.295 0.319 Nd
0.795 0.476 0.380 Nd
0.295 0.415 0.819 Nd
0.976 0.380 0.295 Nd
0.795 0.319 0.915 Nd
0.524 0.319 0.904 Nd
0.596 0.620 0.415 Nd
0.120 0.705 0.524 Nd
0.096 0.181 0.476 Nd
0.000 0.500 0.500 N
0.500 0.500 0.500 N
0.750 0.125 0.875 N
0.000 0.000 0.000 N
0.625 0.875 0.250 N
0.250 0.875 0.125 N
0.375 0.125 0.750 N
0.125 0.750 0.375 N
0.500 0.500 0.000 N
0.500 0.000 0.000 N
0.875 0.625 0.750 N
0.500 0.000 0.500 N
0.000 0.000 0.500 N
0.625 0.750 0.875 N
0.250 0.375 0.625 N
0.125 0.375 0.250 N
0.750 0.625 0.375 N
0.375 0.250 0.125 N
0.875 0.250 0.625 N
0.000 0.500 0.000 N
0.375 0.625 0.250 Rh
0.125 0.250 0.875 Rh
0.750 0.375 0.125 Rh
0.750 0.875 0.625 Rh
0.125 0.875 0.750 Rh
0.625 0.250 0.375 Rh
0.625 0.375 0.750 Rh
0.875 0.125 0.250 Rh
0.250 0.125 0.375 Rh
0.250 0.625 0.875 Rh
0.375 0.750 0.625 Rh
0.875 0.750 0.125 Rh



Entry 2:
NdRhN | Alexandria | PBE | relaxed; energy relative to the elements, uncorrected = -323 meV/atom
1.0
3.964 0.000 0.000
0.000 3.783 0.000
0.000 -1.892 3.276
N Nd Rh
1 1 1
Direct
0.245 0.667 0.333 N
0.611 0.333 0.667 Nd
0.144 0.000 0.000 Rh



Entry 3:
Nd4Rh2N | Alexandria | PBE | relaxed; energy relative to the elements, uncorrected = -621 meV/atom
1.0
-0.839 3.033 3.710
-1.611 -3.726 2.681
5.501 -1.489 5.650
Rh Nd N
2 4 1
Direct
0.369 0.369 0.262 Rh
0.631 0.631 0.738 Rh
0.500 0.000 0.000 Nd
0.819 0.819 0.362 Nd
0.000 0.500 0.000 Nd
0.181 0.181 0.638 Nd
0.000 0.000 0.000 N



Entry 4:
NdSiRhN | Alexandria | PBE | relaxed; energy relative to the elements, uncorrected = -1219 meV/atom
1.0
3.973 0.000 0.000
0.000 3.973 0.000
0.000 0.000 8.204
Rh Nd Si N
2 2 2 2
Direct
0.000 0.000 0.500 Rh
0.500 0.500 0.500 Rh
0.500 0.000 0.159 Nd
0.000 0.500 0.841 Nd
0.000 0.500 0.343 Si
0.500 0.000 0.657 Si
0.500 0.000 0.870 N
0.000 0.500 0.130 N



Entry 5:
Nd3TeRhN | Alexandria | PBE | relaxed; energy relative to the elements, uncorrected = -1038 meV/atom
1.0
4.133 0.000 0.000
0.000 9.182 0.162
0.000 -2.307 9.290
Rh Te Nd N
2 2 6 2
Direct
0.750 0.351 0.840 Rh
0.250 0.649 0.160 Rh
0.250 0.174 0.217 Te
0.750 0.826 0.783 Te
0.250 0.841 0.488 Nd
0.250 0.129 0.842 Nd
0.750 0.425 0.135 Nd
0.750 0.871 0.158 Nd
0.750 0.159 0.512 Nd
0.250 0.575 0.865 Nd
0.750 0.911 0.399 N
0.250 0.089 0.601 N



Entry 6:
Nd4Ru2N | Alexandria | PBE | relaxed; energy relative to the elements, uncorrected = -117 meV/atom
1.0
4.900 0.000 0.000
0.000 4.900 0.000
2.450 2.450 7.424
Nd N Ru
4 1 2
Direct
0.000 0.500 0.000 Nd
0.694 0.694 0.613 Nd
0.500 0.000 0.000 Nd
0.306 0.306 0.387 Nd
0.000 0.000 0.000 N
0.135 0.135 0.731 Ru
0.865 0.865 0.269 Ru



Entry 7:
NdRuN | Alexandria | PBE | relaxed; energy relative to the elements, uncorrected = -277 meV/atom; polymorph energy (0 for the lowest one) = 0.167 eV/atom
1.0
5.037 0.000 0.000
0.000 3.375 0.000
0.000 -1.688 2.923
Ru N Nd
1 1 1
Direct
0.135 0.000 0.000 Ru
0.274 0.667 0.333 N
0.590 0.333 0.667 Nd



Entry 8:
NdRuN | Alexandria | PBE | relaxed; energy relative to the elements, uncorrected = -444 meV/atom; polymorph energy (0 for the lowest one) = 0.000 eV/atom
1.0
-4.837 1.190 -0.911
0.551 -1.253 -4.559
1.185 -4.834 1.471
Nd N Ru
2 2 2
Direct
0.313 0.750 0.625 Nd
0.687 0.250 0.375 Nd
0.810 0.750 0.621 N
0.190 0.250 0.379 N
0.000 0.500 0.000 Ru
0.000 0.000 0.000 Ru



Entry 9:
NdSiRuN | Alexandria | PBE | relaxed; energy relative to the elements, uncorrected = -1043 meV/atom
1.0
3.994 0.000 0.000
0.000 3.994 0.000
0.000 0.000 8.181
Si N Nd Ru
2 2 2 2
Direct
0.500 0.000 0.654 Si
0.000 0.500 0.346 Si
0.000 0.500 0.130 N
0.500 0.000 0.870 N
0.500 0.000 0.160 Nd
0.000 0.500 0.840 Nd
0.000 0.000 0.500 Ru
0.500 0.500 0.500 Ru



Entry 10:
Nd2SmRuN4 | Alexandria | PBE | relaxed; energy relative to the elements, uncorrected = -835 meV/atom
1.0
-1.150 -1.065 3.115
6.180 -0.800 0.055
1.413 11.213 4.353
Nd N Sm Ru
4 8 2 2
Direct
0.632 0.264 0.043 Nd
0.368 0.736 0.543 Nd
0.368 0.736 0.957 Nd
0.632 0.264 0.457 Nd
0.000 0.000 0.500 N
0.273 0.546 0.137 N
0.727 0.454 0.637 N
0.273 0.546 0.363 N
0.435 0.870 0.750 N
0.000 0.000 0.000 N
0.727 0.454 0.863 N
0.565 0.130 0.250 N
0.876 0.752 0.250 Sm
0.124 0.248 0.750 Sm
0.145 0.291 0.250 Ru
0.855 0.709 0.750 Ru



Entry 11:
SrNd2RuN4 | Alexandria | PBE | relaxed; energy relative to the elements, uncorrected = -725 meV/atom
1.0
3.574 0.000 0.000
-1.787 6.174 0.000
0.000 0.000 12.118
N Nd Sr Ru
8 4 2 2
Direct
0.413 0.826 0.750 N
0.000 0.000 0.000 N
0.739 0.478 0.627 N
0.587 0.174 0.250 N
0.000 0.000 0.500 N
0.261 0.522 0.373 N
0.739 0.478 0.873 N
0.261 0.522 0.127 N
0.368 0.737 0.537 Nd
0.368 0.737 0.963 Nd
0.632 0.263 0.463 Nd
0.632 0.263 0.037 Nd
0.114 0.227 0.750 Sr
0.886 0.773 0.250 Sr
0.157 0.314 0.250 Ru
0.843 0.686 0.750 Ru



Entry 12:
Tb2NdRuN4 | Alexandria | PBE | relaxed; energy relative to the elements, uncorrected = -996 meV/atom
1.0
3.452 0.000 0.000
-1.726 5.866 0.000
0.000 0.000 11.689
N Tb Ru Nd
8 4 2 2
Direct
0.732 0.465 0.871 N
0.440 0.881 0.750 N
0.560 0.119 0.250 N
0.268 0.535 0.129 N
0.268 0.535 0.371 N
0.000 0.000 0.000 N
0.000 0.000 0.500 N
0.732 0.465 0.629 N
0.631 0.262 0.457 Tb
0.631 0.262 0.043 Tb
0.369 0.738 0.543 Tb
0.369 0.738 0.957 Tb
0.144 0.288 0.250 Ru
0.856 0.712 0.750 Ru
0.120 0.240 0.750 Nd
0.880 0.760 0.250 Nd



Entry 13:
TbNd2RuN4 | Alexandria | PBE | relaxed; energy relative to the elements, uncorrected = -831 meV/atom
1.0
3.458 0.000 0.000
-1.729 5.950 0.000
0.000 0.000 12.123
N Ru Nd Tb
8 2 4 2
Direct
0.439 0.878 0.750 N
0.561 0.122 0.250 N
0.274 0.547 0.138 N
0.726 0.453 0.862 N
0.726 0.453 0.638 N
0.000 0.000 0.500 N
0.274 0.547 0.362 N
0.000 0.000 0.000 N
0.143 0.285 0.250 Ru
0.857 0.715 0.750 Ru
0.368 0.736 0.543 Nd
0.632 0.264 0.457 Nd
0.368 0.736 0.957 Nd
0.632 0.264 0.043 Nd
0.128 0.256 0.750 Tb
0.872 0.744 0.250 Tb



Entry 14:
Nd2ThRuN4 | Alexandria | PBE | relaxed; energy relative to the elements, uncorrected = -941 meV/atom
1.0
3.475 0.000 0.000
-1.737 6.020 0.000
0.000 0.000 11.953
N Th Nd Ru
8 2 4 2
Direct
0.000 0.000 0.000 N
0.720 0.441 0.638 N
0.544 0.087 0.250 N
0.456 0.913 0.750 N
0.280 0.559 0.362 N
0.720 0.441 0.862 N
0.280 0.559 0.138 N
0.000 0.000 0.500 N
0.890 0.780 0.250 Th
0.110 0.220 0.750 Th
0.369 0.738 0.950 Nd
0.631 0.262 0.050 Nd
0.631 0.262 0.450 Nd
0.369 0.738 0.550 Nd
0.849 0.698 0.750 Ru
0.151 0.302 0.250 Ru



Entry 15:
NdTm2RuN4 | Alexandria | PBE | relaxed; energy relative to the elements, uncorrected = -1067 meV/atom
1.0
-0.472 1.061 -3.210
0.821 -5.970 -0.278
-11.309 -1.607 1.133
Tm N Ru Nd
4 8 2 2
Direct
0.631 0.262 0.458 Tm
0.369 0.738 0.958 Tm
0.369 0.738 0.542 Tm
0.631 0.262 0.042 Tm
0.735 0.469 0.876 N
0.000 0.000 0.500 N
0.000 0.000 0.000 N
0.556 0.112 0.250 N
0.444 0.888 0.750 N
0.265 0.531 0.376 N
0.265 0.531 0.124 N
0.735 0.469 0.624 N
0.143 0.286 0.250 Ru
0.857 0.714 0.750 Ru
0.880 0.761 0.250 Nd
0.120 0.239 0.750 Nd



Entry 16:
NdY2RuN4 | Alexandria | PBE | relaxed; energy relative to the elements, uncorrected = -999 meV/atom
1.0
3.443 0.000 0.000
-1.722 5.850 0.000
0.000 0.000 11.673
N Ru Nd Y
8 2 2 4
Direct
0.000 0.000 0.500 N
0.733 0.466 0.872 N
0.267 0.534 0.372 N
0.733 0.466 0.628 N
0.559 0.117 0.250 N
0.267 0.534 0.128 N
0.441 0.883 0.750 N
0.000 0.000 0.000 N
0.143 0.286 0.250 Ru
0.857 0.714 0.750 Ru
0.121 0.241 0.750 Nd
0.879 0.759 0.250 Nd
0.369 0.738 0.542 Y
0.631 0.262 0.042 Y
0.631 0.262 0.458 Y
0.369 0.738 0.958 Y



Entry 17:
Nd4S4N | Alexandria | PBE | relaxed; energy relative to the elements, uncorrected = -1773 meV/atom
1.0
6.686 0.000 0.000
0.000 6.686 0.000
-3.343 -3.343 5.852
Nd S N
4 4 1
Direct
0.918 0.316 0.234 Nd
0.316 0.918 0.234 Nd
0.684 0.684 0.766 Nd
0.082 0.082 0.766 Nd
0.707 0.707 0.415 S
0.293 0.293 0.585 S
0.000 0.500 0.000 S
0.500 0.000 0.000 S
0.000 0.000 0.000 N



Entry 18:
Nd8S6N | Alexandria | PBE | relaxed; energy relative to the elements, uncorrected = -1266 meV/atom
1.0
4.190 0.000 0.000
0.000 8.720 -5.035
0.000 0.000 10.069
S Nd N
6 8 1
Direct
0.757 0.478 0.351 S
0.243 0.522 0.649 S
0.757 0.873 0.522 S
0.757 0.649 0.127 S
0.243 0.351 0.873 S
0.243 0.127 0.478 S
0.734 0.971 0.276 Nd
0.266 0.029 0.724 Nd
0.746 0.333 0.667 Nd
0.266 0.276 0.305 Nd
0.266 0.695 0.971 Nd
0.734 0.305 0.029 Nd
0.254 0.667 0.333 Nd
0.734 0.724 0.695 Nd
0.500 0.000 0.000 N